1.
The following is a DFT calculation (PBE) of a relaxed structure of Ba2NaBiCl.

Cell: 6.0891 6.0891 5.2054 Å, 90.00 90.00 90.00°
With the nearest neighbours (Å) after each atom.
Element x y z (fractional)
Na 0.0000 0.0000 0.5000  2 Cl 2.60
Cl 0.0000 0.0000 0.0000  2 Na 2.60
Ba 0.5000 0.0000 0.0000  2 Cl 3.04
Ba 0.0000 0.5000 0.0000  2 Cl 3.04
Bi 0.5000 0.5000 0.5000  8 Ba 4.01, 4 Na 4.31

Properties
- energy (eV per atom) = -3.18
- formation energy without anion corrections (kJ per mole of atoms) = -96.3
- magnetization (Bohr magnetons per cell) = 0.2
- crystal system = tetragonal
- mass density (g/cm³) = 4.664


2.
The following is a DFT calculation (PBE) of a relaxed structure of Pr3Er6Tm2Pu.

Cell: 6.1413 6.1413 11.6972 Å, 95.01 95.01 119.98°
With the nearest neighbours (Å) after each atom.
Element x y z (fractional)
Pu 0.0000 0.0000 0.0000  6 Er 3.45, 6 Tm 3.54-3.55
Er 0.7518 0.7518 0.2424  1 Pu 3.45, 2 Tm 3.47, 6 Er 3.50-3.57, 3 Pr 3.60-3.62
Er 0.9190 0.5902 0.7575  1 Pu 3.45, 2 Tm 3.47, 6 Er 3.50-3.57, 3 Pr 3.60-3.62
Er 0.4098 0.0810 0.2425  1 Pu 3.45, 2 Tm 3.47, 6 Er 3.50-3.57, 3 Pr 3.60-3.62
Tm 0.6667 0.3333 0.0000  6 Er 3.47, 3 Pu 3.54-3.55, 3 Tm 3.55
Pr 0.5000 0.5000 0.5000  6 Pr 3.54-3.55, 6 Er 3.60-3.62
Er 0.5902 0.9190 0.7575  1 Pu 3.45, 2 Tm 3.47, 6 Er 3.50-3.57, 3 Pr 3.60-3.62
Er 0.0810 0.4098 0.2425  1 Pu 3.45, 2 Tm 3.47, 6 Er 3.50-3.57, 3 Pr 3.60-3.62
Er 0.2482 0.2482 0.7576  1 Pu 3.45, 2 Tm 3.47, 6 Er 3.50-3.57, 3 Pr 3.60-3.62
Pr 0.8332 0.1668 0.5000  6 Pr 3.54-3.55, 6 Er 3.60-3.62
Pr 0.1668 0.8332 0.5000  6 Pr 3.54-3.55, 6 Er 3.60-3.62
Tm 0.3333 0.6667 0.0000  6 Er 3.47, 3 Pu 3.54-3.55, 3 Tm 3.55

Properties
- energy (eV per atom) = -5.37
- energy of formation (eV/atom) = 0.05
- magnetization (Bohr magnetons per cell) = 6.6
- crystal system = monoclinic
- mass density (g/cm³) = 8.862


3.
The following is a DFT calculation (PBE) of a relaxed structure of LaCeIn2.

Cell: 4.6399 7.9680 7.1639 Å, 25.95 90.00 90.00°
With the nearest neighbours (Å) after each atom.
Element x y z (fractional)
Ce 0.1125 0.1353 0.8206  8 In 3.37, 2 Ce 3.49, 2 La 3.58
La 0.1125 0.1353 0.3205  8 In 3.45, 2 La 3.49, 2 Ce 3.58
In 0.6125 0.6354 0.5594  4 Ce 3.37, 4 In 3.42-3.74, 4 La 3.45
In 0.6125 0.6353 0.0817  4 Ce 3.37, 4 In 3.42-3.74, 4 La 3.45

Properties
- energy (eV per atom) = -4.51
- energy of formation (eV/atom) = -0.43
- magnetization (Bohr magnetons per cell) = 1.1
- crystal system = orthorhombic
- mass density (g/cm³) = 7.289


4.
The following is a DFT calculation (PBE) of a relaxed structure of Dy4Ho5Mg2.

Cell: 3.4044 8.7917 12.3613 Å, 110.83 97.92 90.00°
With the nearest neighbours (Å) after each atom.
Element x y z (fractional)
Dy 0.0000 0.3190 0.0000  3 Dy 3.18-3.40, 4 Mg 3.24, 4 Ho 3.28-3.37
Ho 0.5000 0.0000 0.0000  4 Dy 3.28, 2 Ho 3.40
Dy 0.0000 0.6810 0.0000  3 Dy 3.18-3.40, 4 Mg 3.24, 4 Ho 3.28-3.37
Ho 0.8603 0.0572 0.7205  2 Mg 3.30, 2 Dy 3.37-3.40, 3 Ho 3.40-3.46
Ho 0.8603 0.6634 0.7205  2 Mg 3.30, 2 Dy 3.37-3.40, 3 Ho 3.40-3.46
Mg 0.5986 0.5986 0.1971  5 Dy 3.06-3.24, 4 Ho 3.30, 2 Mg 3.40
Mg 0.4014 0.4014 0.8029  5 Dy 3.06-3.24, 4 Ho 3.30, 2 Mg 3.40
Ho 0.1397 0.9428 0.2795  2 Mg 3.30, 2 Dy 3.37-3.40, 3 Ho 3.40-3.46
Ho 0.1397 0.3366 0.2795  2 Mg 3.30, 2 Dy 3.37-3.40, 3 Ho 3.40-3.46
Dy 0.2676 0.2676 0.5353  1 Mg 3.06, 2 Ho 3.40, 2 Dy 3.40
Dy 0.7324 0.7324 0.4647  1 Mg 3.06, 2 Ho 3.40, 2 Dy 3.40

Properties
- energy (eV per atom) = -3.80
- offset from the most stable computed form (eV/atom) = 0.228
- energy of formation (eV/atom) = 0.24
- magnetization (Bohr magnetons per cell) = 0.0
- crystal system = orthorhombic
- mass density (g/cm³) = 7.396


5.
The following is a DFT calculation (PBE) of a relaxed structure of Ag2PW.

Cell: 3.0010 4.5620 11.2198 Å, 94.37 97.93 109.15°
With the nearest neighbours (Å) after each atom.
Element x y z (fractional)
W 0.1850 0.3806 0.0629  4 P 2.39-2.43
P 0.4598 0.9361 0.0559  5 W 2.41-2.54
P 0.3218 0.4286 0.2799  4 W 2.39-2.51
W 0.0039 0.8436 0.2322  5 P 2.44-2.54
Ag 0.6859 0.5867 0.8614  6 Ag 2.83-3.00, 2 P 2.89, 2 W 2.92-2.93
Ag 0.7031 0.0161 0.4555  6 Ag 2.84-3.00, 2 W 2.91-2.92, 1 P 2.99
Ag 0.5181 0.5099 0.5952  9 Ag 2.75-3.00
Ag 0.8770 0.0993 0.7252  9 Ag 2.75-3.00

Properties
- energy (eV per atom) = -5.90
- energy of formation (eV/atom) = 0.11
- magnetization (Bohr magnetons per cell) = 0.0
- crystal system = triclinic
- mass density (g/cm³) = 10.034


6.
The following is a DFT calculation (PBE) of a relaxed structure of NdYTmMg.

Cell: 3.6526 3.6526 9.0566 Å, 90.00 90.00 90.00°
With the nearest neighbours (Å) after each atom.
Element x y z (fractional)
Y 0.5000 0.5000 0.7954  4 Mg 3.31, 4 Nd 3.62, 4 Y 3.65
Nd 0.0000 0.0000 0.0753  4 Tm 3.56, 4 Y 3.62, 4 Nd 3.65
Tm 0.5000 0.5000 0.3464  4 Mg 3.27, 4 Nd 3.56, 4 Tm 3.65
Mg 0.0000 0.0000 0.5676  4 Tm 3.27, 4 Y 3.31, 4 Mg 3.65

Properties
- energy (eV per atom) = -4.35
- offset from the most stable computed form (eV/atom) = 0.000
- energy of formation (eV/atom) = -0.03
- magnetization (Bohr magnetons per cell) = 0.0
- crystal system = tetragonal
- mass density (g/cm³) = 5.860


7.
The following is a DFT calculation (PBE) of a relaxed structure of ReRu2Au.

Cell: 4.5791 2.7087 4.9909 Å, 86.28 90.00 90.00°
With the nearest neighbours (Å) after each atom.
Element x y z (fractional)
Ru 0.0000 0.5403 0.5182  5 Ru 2.64-2.84, 2 Re 2.64, 2 Au 2.79
Re 0.5000 0.7500 0.7500  4 Ru 2.64, 2 Re 2.71, 4 Au 2.76-2.92
Ru 0.0000 0.9597 0.9818  5 Ru 2.64-2.84, 2 Re 2.64, 2 Au 2.79
Au 0.5000 0.2500 0.2500  2 Au 2.71, 4 Re 2.76-2.92, 4 Ru 2.79

Properties
- energy (eV per atom) = -8.02
- offset from the most stable computed form (eV/atom) = 0.415
- energy of formation (eV/atom) = 0.55
- magnetization (Bohr magnetons per cell) = 0.5
- crystal system = monoclinic
- mass density (g/cm³) = 15.734


- What is the mass density in the first record?
  4.664 g/cm³